Entry 1:
# TaBeBi

A geometry-optimized TaBeBi structure (PBE, OQMD via LeMat-Bulk).

Results
- Symmetry: F-43m, No. 216
- Distance to the lowest polymorph of the same formula: 305.7 meV per atom

Geometry as extended XYZ:
```
3
Lattice="0.000 3.237 3.237 3.237 0.000 3.237 3.237 3.237 0.000" Properties=species:S:1:pos:R:3 pbc="T T T"
Be 1.619 1.619 1.619
Bi 0.000 0.000 0.000
Ta 4.856 4.856 4.856
```

---

Entry 2:
# TbAg2

A geometry-optimized TbAg2 structure (PBE, OQMD via LeMat-Bulk).

Results
- Symmetry: I4/mmm, No. 139
- Electronic total energy: -11.24 eV per formula unit

Geometry as extended XYZ:
```
3
Lattice="-3.725 0.000 0.000 0.000 -3.725 0.000 1.863 1.863 4.626" Properties=species:S:1:pos:R:3 pbc="T T T"
Ag -1.863 -1.863 1.574
Ag 0.000 0.000 3.051
Tb 0.000 0.000 0.000
```

---

Entry 3:
# K2OsCl6

A geometry-optimized K2OsCl6 structure (PBE, OQMD via LeMat-Bulk).

Results
- Symmetry: C2/m, No. 12
- Distance to the lowest polymorph of the same formula: 32.1 meV per atom

Geometry as extended XYZ:
```
9
Lattice="-2.705 4.585 -4.273 -4.942 4.182 2.164 4.024 3.897 1.642" Properties=species:S:1:pos:R:3 pbc="T T T"
Cl -1.707 4.665 -2.151
Cl -2.850 4.459 1.138
Cl -0.324 2.324 0.033
Cl -3.299 10.340 -0.500
Cl -0.773 8.205 -1.605
Cl -1.916 7.999 1.684
K -4.140 6.773 -1.015
K 0.517 5.891 0.548
Os 0.000 0.000 0.000
```

---

Entry 4:
# Na2HfTe3

A geometry-optimized Na2HfTe3 structure (PBE, OQMD via LeMat-Bulk).

Results
- Symmetry: Pnma, No. 62
- Electronic total energy: -26.70 eV per formula unit

Geometry as extended XYZ:
```
24
Lattice="14.621 0.000 0.000 0.000 4.204 0.000 0.000 0.000 12.029" Properties=species:S:1:pos:R:3 pbc="T T T"
Hf 7.181 1.051 1.968
Hf 14.492 1.051 4.046
Hf 0.129 3.153 7.982
Hf 7.440 3.153 10.061
Na 3.462 3.153 0.080
Na 14.205 3.153 1.027
Na 6.895 3.153 4.987
Na 10.772 3.153 5.934
Na 3.849 1.051 6.094
Na 7.726 1.051 7.042
Na 0.416 1.051 11.001
Na 11.159 1.051 11.949
Te 8.824 3.153 0.709
Te 1.598 1.051 1.801
Te 5.270 3.153 2.631
Te 12.580 3.153 3.384
Te 8.908 1.051 4.214
Te 1.513 3.153 5.305
Te 13.107 1.051 6.724
Te 5.713 3.153 7.815
Te 2.041 1.051 8.645
Te 9.351 1.051 9.398
Te 13.023 3.153 10.228
Te 5.797 1.051 11.319
```

---

Entry 5:
# ErScSn2

A geometry-optimized ErScSn2 structure (PBE, OQMD via LeMat-Bulk).

Results
- Symmetry: Amm2, No. 38
- Electronic total energy: -18.35 eV per formula unit

Geometry as extended XYZ:
```
4
Lattice="3.257 0.000 0.000 0.000 3.015 5.990 0.000 -3.015 5.990" Properties=species:S:1:pos:R:3 pbc="T T T"
Er 1.629 0.000 4.413
Sc 1.629 0.000 7.675
Sn 1.629 0.000 1.366
Sn 1.629 0.000 10.507
```

---

Entry 6:
# LiMoPt2

A geometry-optimized LiMoPt2 structure (PBE, OQMD via LeMat-Bulk).

Results
- Symmetry: F-43m, No. 216
- Electronic total energy: -25.20 eV per formula unit

Geometry as extended XYZ:
```
4
Lattice="2.647 -3.307 1.057 1.016 -0.733 4.182 -1.599 -3.506 2.053" Properties=species:S:1:pos:R:3 pbc="T T T"
Li 1.032 -3.773 3.646
Mo 0.516 -1.886 1.823
Pt 0.000 0.000 0.000
Pt 1.548 -5.659 5.469
```

---

Entry 7:
# Fe2AsPd

A geometry-optimized Fe2AsPd structure (PBE, OQMD via LeMat-Bulk).

Results
- Symmetry: F-43m, No. 216
- Electronic total energy: -26.33 eV per formula unit

Geometry as extended XYZ:
```
4
Lattice="-3.528 2.412 0.090 -1.044 2.387 -3.389 -3.375 -1.058 -2.401" Properties=species:S:1:pos:R:3 pbc="T T T"
As -3.973 1.871 -2.850
Fe 0.000 0.000 0.000
Fe -5.960 2.806 -4.275
Pd -1.987 0.935 -1.425
```

---

Entry 8:
# KLuNO

A geometry-optimized KLuNO structure (PBE, OQMD via LeMat-Bulk).

Results
- Symmetry: Pmc2_1, No. 26
- Distance to the lowest polymorph of the same formula: 21.3 meV per atom

Geometry as extended XYZ:
```
8
Lattice="2.446 1.543 -2.534 4.415 -0.050 4.232 1.948 -6.556 -2.110" Properties=species:S:1:pos:R:3 pbc="T T T"
K 2.752 -2.189 1.324
K 5.621 -4.440 2.723
Lu 1.533 -0.202 -1.561
Lu 5.110 -4.836 -0.928
N 4.684 -1.947 3.337
N 3.295 -4.677 0.334
O 2.918 0.082 -0.050
O 6.675 -5.154 0.389
```

---

Entry 9:
# Li4TaPbO6

A geometry-optimized Li4TaPbO6 structure (PBE, OQMD via LeMat-Bulk).

Results
- Symmetry: C2, No. 5
- Electronic total energy: -76.60 eV per formula unit

Geometry as extended XYZ:
```
12
Lattice="2.714 -4.737 0.000 2.714 4.737 0.000 -1.768 0.000 4.885" Properties=species:S:1:pos:R:3 pbc="T T T"
Li 2.714 -0.025 0.000
Li 1.829 -1.441 2.443
Li 1.829 1.501 2.443
Li 1.829 4.626 2.443
O 3.786 -1.488 1.143
O 0.855 -0.187 1.203
O 3.452 1.724 1.205
O 0.207 1.724 3.680
O 2.804 -0.187 3.682
O -0.127 -1.488 3.743
Pb 2.714 -3.169 0.000
Ta 2.714 3.148 0.000
```

---

Entry 10:
# ZnReAs2

A geometry-optimized ZnReAs2 structure (PBE, OQMD via LeMat-Bulk).

Results
- Symmetry: I-42d, No. 122
- Electronic total energy: -21.51 eV per formula unit

Geometry as extended XYZ:
```
8
Lattice="-0.002 -3.931 5.650 -6.488 -0.481 2.246 2.696 -1.086 -6.239" Properties=species:S:1:pos:R:3 pbc="T T T"
As -2.511 -3.652 5.705
As -2.763 -3.200 1.827
As 0.591 -1.196 -2.144
As -2.905 -2.950 -2.074
Re -3.245 -2.206 3.948
Re -3.519 -1.887 -0.022
Zn 0.000 0.000 0.000
Zn -0.275 -3.612 1.679
```

---

Entry 11:
# LiPd2

A geometry-optimized LiPd2 structure (PBE, OQMD via LeMat-Bulk).

Results
- Symmetry: Fm-3m, No. 225
- Electronic total energy: -12.27 eV per formula unit

Geometry as extended XYZ:
```
3
Lattice="-3.715 -1.180 0.898 -1.467 0.629 3.668 -2.881 2.718 0.563" Properties=species:S:1:pos:R:3 pbc="T T T"
Li 0.000 0.000 0.000
Pd -2.016 0.542 1.282
Pd -6.047 1.626 3.846
```

---

Entry 12:
# DyY2Tl3Ni3

A geometry-optimized DyY2Tl3Ni3 structure (PBE, OQMD via LeMat-Bulk).

Results
- Symmetry: Amm2, No. 38
- Electronic total energy: -44.52 eV per formula unit

Geometry as extended XYZ:
```
9
Lattice="-0.961 2.520 2.601 -7.167 -0.246 -2.409 2.310 -4.729 5.434" Properties=species:S:1:pos:R:3 pbc="T T T"
Dy -1.978 -2.025 1.232
Ni -0.004 -0.004 0.003
Ni -4.473 -0.482 1.513
Ni -1.337 -1.965 4.108
Tl -7.041 -0.223 0.315
Tl -4.068 -2.415 3.535
Tl -0.047 -3.532 6.102
Y -4.255 -0.146 -1.430
Y 1.371 -2.807 3.226
```

---

Entry 13:
# Be2Pt2W

A geometry-optimized Be2Pt2W structure (PBE, OQMD via LeMat-Bulk).

Results
- Symmetry: P4/mbm, No. 127
- Electronic total energy: -34.54 eV per formula unit

Geometry as extended XYZ:
```
10
Lattice="6.810 0.000 0.000 0.000 6.810 0.000 0.000 0.000 2.712" Properties=species:S:1:pos:R:3 pbc="T T T"
Be 4.243 0.838 0.000
Be 0.838 2.567 0.000
Be 5.972 4.243 0.000
Be 2.567 5.972 0.000
Pt 2.234 1.171 1.356
Pt 5.639 2.234 1.356
Pt 1.171 4.576 1.356
Pt 4.576 5.639 1.356
W 0.000 0.000 0.000
W 3.405 3.405 0.000
```

---

Entry 14:
# Dy2ScIn3Pt2

A geometry-optimized Dy2ScIn3Pt2 structure (PBE, OQMD via LeMat-Bulk).

Results
- Symmetry: Amm2, No. 38
- Electronic total energy: -42.72 eV per formula unit

Geometry as extended XYZ:
```
8
Lattice="-3.191 -1.321 -0.809 3.270 -4.915 -4.873 -1.019 -2.016 7.314" Properties=species:S:1:pos:R:3 pbc="T T T"
Dy 1.896 -2.851 -2.823
Dy -0.590 -1.171 4.239
In -0.841 -1.826 -1.476
In -1.804 -1.175 1.259
In 0.115 -5.926 1.450
Pt 0.201 -4.560 -1.122
Pt -1.157 -3.642 2.737
Sc 0.956 -2.943 1.037
```

---

Entry 15:
# LiCuBiPt

A geometry-optimized LiCuBiPt structure (PBE, OQMD via LeMat-Bulk).

Results
- Symmetry: F-43m, No. 216
- Distance to the lowest polymorph of the same formula: 0.0 meV per atom

Geometry as extended XYZ:
```
4
Lattice="0.000 3.269 3.269 3.269 0.000 3.269 3.269 3.269 0.000" Properties=species:S:1:pos:R:3 pbc="T T T"
Bi 0.000 0.000 0.000
Cu 4.904 4.904 4.904
Li 3.269 3.269 3.269
Pt 1.635 1.635 1.635
```

---

Entry 16:
# LuBeFeGe

A geometry-optimized LuBeFeGe structure (PBE, OQMD via LeMat-Bulk).

Results
- Symmetry: F-43m, No. 216
- Distance to the lowest polymorph of the same formula: 0.0 meV per atom

Geometry as extended XYZ:
```
4
Lattice="-2.508 -3.496 -0.549 -2.986 -1.016 2.978 -4.216 0.475 -0.906" Properties=species:S:1:pos:R:3 pbc="T T T"
Be -4.855 -2.019 0.762
Fe -7.282 -3.028 1.142
Ge 0.000 0.000 0.000
Lu -2.427 -1.009 0.381
```

---

Entry 17:
# Li2MgAlAu4

A geometry-optimized Li2MgAlAu4 structure (PBE, OQMD via LeMat-Bulk).

Results
- Symmetry: P-4m2, No. 115
- Electronic total energy: -26.78 eV per formula unit

Geometry as extended XYZ:
```
8
Lattice="4.507 0.000 0.000 0.000 4.507 0.000 0.000 0.000 6.345" Properties=species:S:1:pos:R:3 pbc="T T T"
Al 0.000 0.000 0.000
Au 2.253 0.000 1.515
Au 0.000 2.253 1.536
Au 2.253 0.000 4.808
Au 0.000 2.253 4.829
Li 2.253 2.253 0.000
Li 0.000 0.000 3.172
Mg 2.253 2.253 3.172
```

---

Entry 18:
# Sr2NiAs4Pt

A geometry-optimized Sr2NiAs4Pt structure (PBE, OQMD via LeMat-Bulk).

Results
- Symmetry: Amm2, No. 38
- Electronic total energy: -39.79 eV per formula unit

Geometry as extended XYZ:
```
8
Lattice="4.620 0.000 0.000 0.000 2.233 8.387 0.000 -2.233 8.387" Properties=species:S:1:pos:R:3 pbc="T T T"
As 0.000 0.000 4.162
As 2.310 0.000 7.814
As 0.000 0.000 9.111
As 2.310 0.000 12.454
Ni 0.000 0.000 11.502
Pt 2.310 0.000 5.291
Sr 2.310 0.000 1.760
Sr 0.000 0.000 15.002
```

---

Entry 19:
# LaTbCo

A geometry-optimized LaTbCo structure (PBE, OQMD via LeMat-Bulk).

Results
- Symmetry: F-43m, No. 216
- Electronic total energy: -14.47 eV per formula unit

Geometry as extended XYZ:
```
3
Lattice="1.566 -3.761 -2.322 1.460 -3.777 2.366 -2.544 -3.939 -0.071" Properties=species:S:1:pos:R:3 pbc="T T T"
Co 0.121 -2.869 -0.007
La 0.000 0.000 0.000
Tb 0.362 -8.607 -0.021
```

---

Entry 20:
# PrMg4AlIr2

A geometry-optimized PrMg4AlIr2 structure (PBE, OQMD via LeMat-Bulk).

Results
- Symmetry: Amm2, No. 38
- Electronic total energy: -30.98 eV per formula unit

Geometry as extended XYZ:
```
8
Lattice="7.863 0.000 0.000 0.000 2.817 5.138 0.000 -2.817 5.138" Properties=species:S:1:pos:R:3 pbc="T T T"
Al 0.000 0.000 4.500
Ir 0.000 0.000 2.204
Ir 0.000 0.000 6.797
Mg 2.474 0.000 2.795
Mg 5.389 0.000 2.795
Mg 2.473 0.000 6.187
Mg 5.390 0.000 6.187
Pr 0.000 0.000 9.640
```

---

For the records above, the corresponding theoretical density values read 9.76 9.69 3.39 5.46 6.35 13.91 8.81 4.82 6.77 7.31 8.06 10.09 15.64 10.16 11.28 8.99 10.99 6.99 8.12 4.74 g/cm³.
For the records above, the corresponding V values read 22.62 21.40 26.18 30.81 29.41 14.71 13.81 21.04 10.47 22.81 15.09 20.66 12.57 22.56 17.47 14.43 16.11 21.63 24.31 28.46 A^3/atom.